[1]
## Ta6Ga5 (GGA-PBE)

Data for a relaxed Ta6Ga5 crystal.

Lattice parameters (Å, degrees): 8.9332 8.9332 5.4773 90.00 90.00 120.00
Closest atoms and distances in Å follow each position.
Fractional coordinates of all 22 atoms:
Ta 0.1530 0.3059 0.2500  7 Ga 2.73-2.86, 4 Ta 3.02
Ta 0.8470 0.6941 0.7500  7 Ga 2.73-2.86, 4 Ta 3.02
Ta 0.3059 0.1530 0.7500  7 Ga 2.73-2.86, 4 Ta 3.02
Ta 0.1530 0.8470 0.2500  7 Ga 2.73-2.86, 4 Ta 3.02
Ta 0.8470 0.1530 0.7500  7 Ga 2.73-2.86, 4 Ta 3.02
Ta 0.5000 0.0000 0.0000  6 Ga 2.71-2.92, 6 Ta 2.74-3.02
Ta 0.5000 0.5000 0.5000  6 Ga 2.71-2.92, 6 Ta 2.74-3.02
Ta 0.5000 0.0000 0.5000  6 Ga 2.71-2.92, 6 Ta 2.74-3.02
Ta 0.0000 0.5000 0.0000  6 Ga 2.71-2.92, 6 Ta 2.74-3.02
Ta 0.6941 0.8470 0.2500  7 Ga 2.73-2.86, 4 Ta 3.02
Ta 0.0000 0.5000 0.5000  6 Ga 2.71-2.92, 6 Ta 2.74-3.02
Ta 0.5000 0.5000 0.0000  6 Ga 2.71-2.92, 6 Ta 2.74-3.02
Ga 0.4104 0.2052 0.2500  8 Ta 2.71-2.86
Ga 0.2052 0.4104 0.7500  8 Ta 2.71-2.86
Ga 0.0000 0.0000 0.5000  6 Ta 2.73, 2 Ga 2.74
Ga 0.0000 0.0000 0.0000  6 Ta 2.73, 2 Ga 2.74
Ga 0.5896 0.7948 0.7500  8 Ta 2.71-2.86
Ga 0.6667 0.3333 0.7500  9 Ta 2.79-2.92
Ga 0.2052 0.7948 0.7500  8 Ta 2.71-2.86
Ga 0.7948 0.2052 0.2500  8 Ta 2.71-2.86
Ga 0.3333 0.6667 0.2500  9 Ta 2.79-2.92
Ga 0.7948 0.5896 0.2500  8 Ta 2.71-2.86

Values from the calculation:
Space-group type: P6_3/mmc (194)

[2]
## Ta2Ga (GGA-PBE)

Data for a relaxed Ta2Ga crystal.

Lattice parameters (Å, degrees): 8.0579 8.0579 8.0579 60.00 60.00 60.00
Closest atoms and distances in Å follow each position.
Fractional coordinates of all 6 atoms:
Ga 0.2500 0.2500 0.2500  4 Ta 2.47
Ga 0.5000 0.5000 0.5000  4 Ta 2.47
Ta 0.3750 0.8750 0.3750  2 Ga 2.47
Ta 0.8750 0.3750 0.3750  2 Ga 2.47
Ta 0.3750 0.3750 0.3750  2 Ga 2.47
Ta 0.3750 0.3750 0.8750  2 Ga 2.47

Values from the calculation:
Space-group type: Fd-3m (227)

[3]
## Ta2Ga (GGA-PBE)

Data for a relaxed Ta2Ga crystal.

Lattice parameters (Å, degrees): 5.4600 5.4600 5.4600 60.00 60.00 60.00
Closest atoms and distances in Å follow each position.
Fractional coordinates of all 6 atoms:
Ga 0.2500 0.2500 0.2500  12 Ta 3.20, 4 Ga 3.34
Ga 0.0000 0.0000 0.0000  12 Ta 3.20, 4 Ga 3.34
Ta 0.1250 0.6250 0.6250  6 Ta 2.73
Ta 0.6250 0.6250 0.1250  6 Ta 2.73
Ta 0.6250 0.6250 0.6250  6 Ta 2.73
Ta 0.6250 0.1250 0.6250  6 Ta 2.73

Values from the calculation:
Space-group type: Fd-3m (227)

[4]
## TaGaTc2 (GGA-PBE)

Data for a relaxed TaGaTc2 crystal.

Lattice parameters (Å, degrees): 4.4452 4.4452 4.4452 60.00 60.00 60.00
Closest atoms and distances in Å follow each position.
Fractional coordinates of all 4 atoms:
Ga 0.5000 0.5000 0.5000  4 Tc 2.72, 4 Ta 2.72
Tc 0.0000 0.0000 0.0000  4 Tc 2.72, 4 Ta 2.72
Tc 0.7500 0.7500 0.7500  4 Tc 2.72, 4 Ga 2.72
Ta 0.2500 0.2500 0.2500  4 Ga 2.72, 4 Tc 2.72

Values from the calculation:
Space-group type: F-43m (216)

E_tot list, top to bottom, in eV/atom: -8.05, -5.20, -8.43, -8.84